# 1
Re2B2Os | PBE | relaxed

Results
Symmetry = P4/mbm (127)

Cell lengths 6.2117, 6.2117, 2.8945 Å; angles 90.00, 90.00, 90.00 degrees
Closest atoms and distances in Å follow each position.
Element x y z (fractional)
Re 0.8506 0.3506 0.5000  6 B 2.29-2.35
Re 0.1494 0.6494 0.5000  6 B 2.29-2.35
Re 0.6494 0.8506 0.5000  6 B 2.29-2.35
Re 0.3506 0.1494 0.5000  6 B 2.29-2.35
Os 0.5000 0.5000 0.0000  4 B 2.37
Os 0.0000 0.0000 0.0000  4 B 2.37
B 0.8518 0.6482 0.0000  6 Re 2.29-2.35, 2 Os 2.37
B 0.1482 0.3518 0.0000  6 Re 2.29-2.35, 2 Os 2.37
B 0.3518 0.8518 0.0000  6 Re 2.29-2.35, 2 Os 2.37
B 0.6482 0.1482 0.0000  6 Re 2.29-2.35, 2 Os 2.37

# 2
NpUTc2 | PBE | relaxed

Results
Symmetry = P4/mmm (123)

Cell lengths 3.3710, 3.3710, 6.7095 Å; angles 90.00, 90.00, 90.00 degrees
Closest atoms and distances in Å follow each position.
Element x y z (fractional)
Tc 0.0000 0.0000 0.2395  4 U 2.87, 4 Np 2.96, 1 Tc 3.21
Tc 0.0000 0.0000 0.7605  4 U 2.87, 4 Np 2.96, 1 Tc 3.21
Np 0.5000 0.5000 0.5000  8 Tc 2.96
U 0.5000 0.5000 0.0000  8 Tc 2.87

Number 1: calculated total energy -98.41 eV per cell, D(E_F) 4.8 states/eV per cell. Number 2: calculated total energy -44.49 eV per cell, D(E_F) 6.7 states/eV per cell.